Density functional theory data (GGA-PBE) for a geometry-optimized Tm2Al9Co3 structure.

* density of states at the Fermi level: 14.13 states/eV per cell
* ΔH_f (0 K): -559.5 meV/atom
* space-group type: C2/c, No. 15

CIF file:
```
data_Tm2Al9Co3
_chemical_formula_sum 'Tm4 Al18 Co6'
_cell_length_a 7.3884
_cell_length_b 7.3884
_cell_length_c 10.1998
_cell_angle_alpha 89.87
_cell_angle_beta 111.08
_cell_angle_gamma 120.43
_symmetry_space_group_name_H-M 'P 1'
_symmetry_Int_Tables_number 1
loop_
_symmetry_equiv_pos_as_xyz
'x,y,z'
loop_
_atom_site_label
_atom_site_type_symbol
_atom_site_fract_x
_atom_site_fract_y
_atom_site_fract_z
Tm1 Tm 0.3374 0.2472 0.7502
Tm2 Tm 0.6626 0.7528 0.2498
Tm3 Tm 0.9970 0.5872 0.7498
Tm4 Tm 0.0030 0.4128 0.2502
Al1 Al 0.4538 0.9190 0.7477
Al2 Al 0.5462 0.0810 0.2523
Al3 Al 0.6713 0.7060 0.7523
Al4 Al 0.3287 0.2940 0.2477
Al5 Al 0.4487 0.6397 0.9286
Al6 Al 0.5513 0.3603 0.0714
Al7 Al 0.2111 0.5201 0.5714
Al8 Al 0.7889 0.4799 0.4286
Al9 Al 0.8873 0.1373 0.7500
Al10 Al 0.1127 0.8627 0.2500
Al11 Al 0.1379 0.9864 0.9525
Al12 Al 0.8621 0.0136 0.0475
Al13 Al 0.5339 0.1854 0.5475
Al14 Al 0.4661 0.8146 0.4525
Al15 Al 0.8796 0.8573 0.5686
Al16 Al 0.1204 0.1427 0.4314
Al17 Al 0.7887 0.3110 0.9314
Al18 Al 0.2113 0.6890 0.0686
Co1 Co 0.5000 0.0000 0.0000
Co2 Co 0.5000 0.5000 0.5000
Co3 Co 0.8416 0.1708 0.4986
Co4 Co 0.1584 0.8292 0.5014
Co5 Co 0.1722 0.3430 0.0014
Co6 Co 0.8278 0.6570 0.9986
```